## CoTe6Rh2 (PBE)

Data for crystalline CoTe6Rh2 at its relaxed geometry.

```
CoTe6Rh2
1.0
6.075 0.000 0.000
0.000 6.075 0.000
0.000 0.000 12.249
Rh Te Co
4 12 2
Direct
0.500 0.500 0.334
0.000 0.000 0.166
0.500 0.500 0.666
0.000 0.000 0.834
0.703 0.703 0.500
0.691 0.691 0.838
0.297 0.297 0.500
0.691 0.691 0.162
0.309 0.309 0.162
0.797 0.203 0.000
0.203 0.797 0.000
0.191 0.809 0.662
0.309 0.309 0.838
0.809 0.191 0.662
0.809 0.191 0.338
0.191 0.809 0.338
0.500 0.500 0.000
0.000 0.000 0.500
```

Computed properties:
Calculated total energy: -4.628 eV per atom
Crystal system: tetragonal